(1)
# Fe2TePt

A geometry-optimized Fe2TePt structure (GGA-PBE, Alexandria).

```
4
Lattice="-2.6985 3.5058 -0.7547 -4.4214 -0.6269 -0.4476 -2.8023 1.4069 3.2109" Properties=species:S:1:pos:R:3 pbc="T T T"
Fe -2.4806 1.0714 0.5021
Pt -4.9611 2.1429 1.0043
Te -7.4417 3.2143 1.5064
Fe 0.0000 0.0000 0.0000
```

Values from the calculation:
- Theoretical density: 11.28 g/cm3
- ΔE_f (raw): 0.29 eV/atom

(2)
# ZnCo2Re

A geometry-optimized ZnCo2Re structure (GGA-PBE, Alexandria).

```
4
Lattice="4.3839 0.0060 0.0053 1.2011 4.2161 -0.0053 -2.7954 -2.1072 2.6389" Properties=species:S:1:pos:R:3 pbc="T T T"
Co 5.5849 4.2221 0.0000
Zn 0.5991 2.1100 1.3168
Co 2.7926 2.1111 0.0000
Re 2.1905 0.0050 1.3221
```

Values from the calculation:
- Theoretical density: 12.58 g/cm3
- Formation energy: 0.125 eV/atom

(3)
# LaThPb

A geometry-optimized LaThPb structure (GGA-PBE, Alexandria).

```
6
Lattice="-0.5560 -4.6776 -0.2108 3.8282 -0.5763 2.6919 -5.2470 0.2847 7.5230" Properties=species:S:1:pos:R:3 pbc="T T T"
La -2.5731 -0.0447 7.7795
Th -0.9874 -2.4846 5.0020
Pb -4.3332 -2.1188 5.7090
La -1.0378 -2.2976 0.9840
Th -2.6235 0.1423 3.7615
Pb 0.7224 -0.2235 3.0546
```

Values from the calculation:
- Energy above the lowest structure with this stoichiometry: 0.0000 eV/atom
- Theoretical density: 9.41 g/cm3
- Formation energy: -0.381 eV/atom

(4)
# K3RbAu

A geometry-optimized K3RbAu structure (GGA-PBE, Alexandria).

```
5
Lattice="4.8642 0.0000 7.8938 -2.4321 4.2125 7.8938 -2.4321 -4.2125 7.8938" Properties=species:S:1:pos:R:3 pbc="T T T"
K -2.4874 0.0000 10.8307
Rb 0.0000 0.0000 14.6441
K 1.2437 -2.1541 10.8307
Au 0.0000 0.0000 20.9474
K 1.2437 2.1541 10.8307
```

Values from the calculation:
- Energy above the lowest structure with this stoichiometry: 0.2732 eV/atom
- Theoretical density: 1.37 g/cm3
- Formation energy: 0.140 eV/atom

(5)
# YCo6Si4

A geometry-optimized YCo6Si4 structure (GGA-PBE, Alexandria).

```
11
Lattice="3.6107 0.0000 0.0000 0.0000 5.7138 -3.2989 0.0000 0.0000 6.5977" Properties=species:S:1:pos:R:3 pbc="T T T"
Si 1.8053 4.5750 1.3265
Co 0.0000 3.0523 -1.3109
Y 0.0000 0.0000 0.0000
Si 1.8053 4.5750 -1.3265
Co 0.0000 5.3229 0.0000
Co 1.8053 1.1722 4.5675
Si 1.8053 2.2775 0.0000
Co 0.0000 3.0523 1.3109
Co 1.8053 3.3695 3.2989
Co 1.8053 1.1722 2.0302
Si 0.0000 1.9046 3.2989
```

Values from the calculation:
- Theoretical density: 6.77 g/cm3
- ΔE_f (raw): -0.64 eV/atom

(6)
# LiCdAg4

A geometry-optimized LiCdAg4 structure (GGA-PBE, Alexandria).

```
12
Lattice="4.6519 0.0000 0.0000 0.0000 5.1714 0.0000 -2.3259 0.0000 9.4076" Properties=species:S:1:pos:R:3 pbc="T T T"
Cd 0.0000 1.1955 2.5348
Li 0.0000 2.2702 7.5548
Ag 2.3259 1.2603 8.6549
Ag 0.0000 4.7234 8.6495
Li 2.3259 4.8559 1.8528
Ag 2.3259 0.2932 4.4460
Cd 2.3259 3.7812 6.8728
Ag 2.3259 2.8416 3.4461
Ag 2.3259 2.1376 0.7581
Ag 0.0000 2.8790 4.9616
Ag 0.0000 3.8460 0.7527
Ag 0.0000 0.2559 5.9615
```

Values from the calculation:
- Energy above the lowest structure with this stoichiometry: 0.0973 eV/atom
- Theoretical density: 8.08 g/cm3
- Formation energy: 0.021 eV/atom

(7)
# Pr2ThInN

A geometry-optimized Pr2ThInN structure (GGA-PBE, Alexandria).

```
5
Lattice="-2.6977 -3.0120 -2.7163 2.3302 -4.0471 2.1733 -3.6006 -0.0958 3.6822" Properties=species:S:1:pos:R:3 pbc="T T T"
Pr -1.8003 -0.0479 1.8411
Pr 1.1651 -2.0235 1.0867
In -1.9841 -3.5774 1.5696
Th -1.3489 -1.5060 -1.3582
N 0.0000 0.0000 0.0000
```

Values from the calculation:
- Theoretical density: 8.26 g/cm3
- ΔE_f (raw): -0.82 eV/atom

(8)
# CaV3In

A geometry-optimized CaV3In structure (GGA-PBE, Alexandria).

```
5
Lattice="4.5043 0.0000 0.0000 0.0000 4.5043 0.0000 0.0000 0.0000 4.5043" Properties=species:S:1:pos:R:3 pbc="T T T"
V 2.2522 0.0000 0.0000
V 0.0000 0.0000 2.2522
In 2.2522 2.2522 2.2522
Ca 0.0000 0.0000 0.0000
V 0.0000 2.2522 0.0000
```

Values from the calculation:
- Energy above the lowest structure with this stoichiometry: 0.6503 eV/atom
- Theoretical density: 5.59 g/cm3
- Formation energy: 1.963 eV/atom

(9)
# Na2IrF

A geometry-optimized Na2IrF structure (GGA-PBE, Alexandria).

```
4
Lattice="0.0000 3.4574 3.4574 3.4574 0.0000 3.4574 3.4574 3.4574 0.0000" Properties=species:S:1:pos:R:3 pbc="T T T"
F 0.0000 0.0000 0.0000
Ir 3.4574 3.4574 3.4574
Na 5.1861 5.1861 5.1861
Na 1.7287 1.7287 1.7287
```

Values from the calculation:
- Energy above the lowest structure with this stoichiometry: 0.3429 eV/atom
- Theoretical density: 5.17 g/cm3
- ΔE_f (raw): 0.03 eV/atom

(10)
# ErTlZnCd

A geometry-optimized ErTlZnCd structure (GGA-PBE, Alexandria).

```
4
Lattice="-1.3264 -3.2854 -3.6104 1.2975 -4.8718 0.4129 -3.5408 -3.4901 0.9330" Properties=species:S:1:pos:R:3 pbc="T T T"
Zn 0.0000 0.0000 0.0000
Cd -2.6773 -8.7355 -1.6984
Tl -1.7848 -5.8236 -1.1322
Er -0.8924 -2.9118 -0.5661
```

Values from the calculation:
- Theoretical density: 9.97 g/cm3
- Formation energy: -0.163 eV/atom

(11)
# LiBeRu3

A geometry-optimized LiBeRu3 structure (GGA-PBE, Alexandria).

```
5
Lattice="-0.2970 -2.9719 -2.7346 4.0214 0.0350 -0.4749 0.3722 -2.7505 2.9487" Properties=species:S:1:pos:R:3 pbc="T T T"
Ru 0.1861 -1.3752 1.4744
Li 0.0000 0.0000 0.0000
Ru -0.1485 -1.4860 -1.3673
Ru 2.0107 0.0175 -0.2374
Be 2.0483 -2.8437 -0.1304
```

Values from the calculation:
- Energy above the lowest structure with this stoichiometry: 0.5533 eV/atom
- Theoretical density: 7.98 g/cm3
- Formation energy: 1.224 eV/atom

(12)
# NaGdTmAl

A geometry-optimized NaGdTmAl structure (GGA-PBE, Alexandria).

```
4
Lattice="5.2682 0.0000 0.0000 2.6341 4.5624 0.0000 2.6341 1.5208 4.3015" Properties=species:S:1:pos:R:3 pbc="T T T"
Al 2.6341 1.5208 1.0754
Tm 0.0000 0.0000 0.0000
Gd 5.2682 3.0416 2.1508
Na 7.9024 4.5624 3.2261
```

Values from the calculation:
- Theoretical density: 6.04 g/cm3
- Formation energy: -0.038 eV/atom

(13)
# FeGe3H

A geometry-optimized FeGe3H structure (GGA-PBE, Alexandria).

```
5
Lattice="4.1388 0.0000 0.0000 0.0000 4.1388 0.0000 0.0000 0.0000 4.1388" Properties=species:S:1:pos:R:3 pbc="T T T"
Ge 0.0000 0.0000 2.0694
Fe 2.0694 2.0694 2.0694
H 0.0000 0.0000 0.0000
Ge 2.0694 0.0000 0.0000
Ge 0.0000 2.0694 0.0000
```

Values from the calculation:
- Energy above the lowest structure with this stoichiometry: 0.1236 eV/atom
- Theoretical density: 6.44 g/cm3

(14)
# TlSiHg2

A geometry-optimized TlSiHg2 structure (GGA-PBE, Alexandria).

```
4
Lattice="3.3762 0.2790 0.0000 -0.8904 3.2686 0.0000 0.0000 0.0000 8.8227" Properties=species:S:1:pos:R:3 pbc="T T T"
Hg 0.0000 0.0000 0.1570
Si 0.0000 0.0000 4.2061
Hg 1.2429 1.7738 2.4825
Tl 1.2429 1.7738 6.3884
```

Values from the calculation:
- Theoretical density: 10.57 g/cm3
- ΔE_f (raw): 0.34 eV/atom

(15)
# SrCd2Co2

A geometry-optimized SrCd2Co2 structure (GGA-PBE, Alexandria).

```
5
Lattice="4.4434 0.0000 0.0000 0.0000 4.4434 0.0000 2.2217 2.2217 5.3852" Properties=species:S:1:pos:R:3 pbc="T T T"
Cd 2.2217 4.4434 2.6926
Cd 4.4434 2.2217 2.6926
Co 4.4434 4.4434 4.3098
Co 2.2217 2.2217 1.0754
Sr 0.0000 0.0000 0.0000
```

Values from the calculation:
- Energy above the lowest structure with this stoichiometry: 0.0000 eV/atom
- Theoretical density: 6.72 g/cm3
- Formation energy: 0.188 eV/atom

(16)
# ReTe2Mo

A geometry-optimized ReTe2Mo structure (GGA-PBE, Alexandria).

```
4
Lattice="3.1252 0.0000 0.0000 0.0000 3.8812 0.0000 0.0000 0.0000 7.6996" Properties=species:S:1:pos:R:3 pbc="T T T"
Mo 0.0000 0.0000 4.2446
Re 1.5626 1.9406 5.3904
Te 1.5626 1.9406 2.6657
Te 0.0000 0.0000 6.9483
```

Values from the calculation:
- Energy above the lowest structure with this stoichiometry: 0.1362 eV/atom
- Theoretical density: 9.55 g/cm3
- ΔE_f (raw): 0.34 eV/atom

(17)
# Nd2Y3Ho6Pu

A geometry-optimized Nd2Y3Ho6Pu structure (GGA-PBE, Alexandria).

```
12
Lattice="-5.8965 1.5594 0.8779 2.4029 -4.8036 3.0205 4.3066 8.0861 7.3320" Properties=species:S:1:pos:R:3 pbc="T T T"
Y -2.3592 4.5414 4.9012
Nd -3.1288 -0.5626 1.5924
Nd -0.3649 -2.6816 2.3060
Ho 2.3710 5.2672 6.4581
Ho 1.5764 0.1709 3.1487
Pu 0.0000 0.0000 0.0000
Ho -1.1535 2.2638 2.4439
Y 3.1721 0.3006 6.3292
Ho -1.5581 -0.4253 4.7723
Ho 1.9664 2.5781 8.7864
Y 0.4065 2.4210 5.6152
Ho -0.7635 4.6710 8.0817
```

Values from the calculation:
- Theoretical density: 7.82 g/cm3
- Formation energy: 0.051 eV/atom

(18)
# Lu2BeTl

A geometry-optimized Lu2BeTl structure (GGA-PBE, Alexandria).

```
4
Lattice="-4.0018 2.0012 -2.3102 -4.3031 0.6535 2.5322 -1.5369 4.6435 1.1967" Properties=species:S:1:pos:R:3 pbc="T T T"
Tl -4.9209 3.6491 0.7094
Be 0.0000 0.0000 0.0000
Lu -7.3813 5.4736 1.0640
Lu -2.4604 1.8245 0.3547
```

Values from the calculation:
- Energy above the lowest structure with this stoichiometry: 0.0897 eV/atom
- Theoretical density: 10.36 g/cm3
- Formation energy: -0.009 eV/atom

(19)
# LaTa2Cu

A geometry-optimized LaTa2Cu structure (GGA-PBE, Alexandria).

```
4
Lattice="-4.0883 -1.6377 1.8476 2.1235 -2.7268 2.2817 0.2725 2.7747 3.0623" Properties=species:S:1:pos:R:3 pbc="T T T"
La -1.9079 0.5685 2.4550
Ta 1.1980 0.0239 2.6720
Ta 0.0000 0.0000 0.0000
Cu -0.9824 -2.1822 2.0647
```

Values from the calculation:
- Energy above the lowest structure with this stoichiometry: 0.3340 eV/atom
- Theoretical density: 11.44 g/cm3
- Formation energy: 0.587 eV/atom

(20)
# LiGaFe2H

A geometry-optimized LiGaFe2H structure (GGA-PBE, Alexandria).

```
5
Lattice="3.6081 0.0000 0.0000 0.0000 3.6081 0.0000 0.0000 0.0000 3.8889" Properties=species:S:1:pos:R:3 pbc="T T T"
Li 0.0000 0.0000 1.9444
Ga 1.8040 1.8040 1.9444
Fe 1.8040 0.0000 0.0000
Fe 0.0000 1.8040 0.0000
H 0.0000 0.0000 0.0000
```

Values from the calculation:
- Theoretical density: 6.21 g/cm3
- Total DFT energy (no corrections): -25.79 eV/cell

(21)
# Pm5PrNd3

A geometry-optimized Pm5PrNd3 structure (GGA-PBE, Alexandria).

```
18
Lattice="-0.4547 8.8557 -3.5698 -8.8118 -4.7316 2.1828 0.2092 2.7435 6.7792" Properties=species:S:1:pos:R:3 pbc="T T T"
Pm -6.0601 2.7285 3.0269
Pm 0.0106 4.9072 3.9357
Pm -2.8925 5.5097 5.7534
Pm -5.8998 -0.3945 4.2878
Pm -3.2622 5.8906 -2.2834
Pr -0.0918 3.4920 0.5636
Pm -3.1575 7.2621 1.1044
Nd -5.8027 6.2897 3.5525
Pm -6.1648 1.3579 -0.3612
Nd -3.1498 1.9438 5.2317
Nd 0.1046 1.3718 3.3896
Nd 0.0000 0.0000 0.0000
Pm -5.7952 0.9770 7.6755
Nd -3.2547 0.5779 1.8397
Pr -0.1538 8.1073 2.6458
Nd -5.9076 4.9238 0.1605
Pm -0.2561 6.6920 -0.7263
Pm -2.9973 4.1391 2.3653
```

Values from the calculation:
- Energy above the lowest structure with this stoichiometry: 0.0000 eV/atom
- Theoretical density: 6.81 g/cm3
- Formation energy: 0.126 eV/atom

(22)
# Pm5Pr2Au4

A geometry-optimized Pm5Pr2Au4 structure (GGA-PBE, Alexandria).

```
11
Lattice="-2.9425 -0.6506 2.2590 4.1761 -3.7035 4.3731 4.4213 10.8441 5.7424" Properties=species:S:1:pos:R:3 pbc="T T T"
Pm 2.3798 4.0479 4.2655
Pm 3.2751 2.4421 8.1090
Pr 3.7300 5.6933 9.6378
Pm 1.3750 6.7387 6.8713
Pm -1.4713 -0.3253 1.1295
Pr 1.9248 0.7967 2.7367
Pm 4.2799 -0.2487 5.5032
Au 2.6593 8.4896 9.0484
Au 3.9541 5.0928 6.6171
Au 1.7008 1.3972 5.7574
Au 2.9956 -1.9996 3.3261
```

Values from the calculation:
- Theoretical density: 8.65 g/cm3
- Formation energy: -0.351 eV/atom

(23)
# LiVAs2

A geometry-optimized LiVAs2 structure (GGA-PBE, Alexandria).

```
4
Lattice="3.1089 0.0000 0.0000 0.0000 3.1089 0.0000 0.0000 0.0000 6.7430" Properties=species:S:1:pos:R:3 pbc="T T T"
Li 1.5544 1.5544 3.3715
As 0.0000 0.0000 1.4667
As 0.0000 0.0000 5.2763
V 1.5544 1.5544 0.0000
```

Values from the calculation:
- Energy above the lowest structure with this stoichiometry: 0.0809 eV/atom
- Theoretical density: 5.29 g/cm3
- Formation energy: -0.346 eV/atom

(24)
# Ce4HfP5

A geometry-optimized Ce4HfP5 structure (GGA-PBE, Alexandria).

```
10
Lattice="3.9766 0.0000 -0.5604 -0.0790 3.9759 -0.5604 -0.0005 -0.0005 14.3855" Properties=species:S:1:pos:R:3 pbc="T T T"
Ce 3.1250 3.1877 7.7856
Ce 0.7722 0.7877 5.4791
P 1.1710 1.1945 8.3094
Hf 0.0000 0.0000 0.0000
Ce 2.3287 2.3754 2.1349
Ce 1.5685 1.6000 11.1298
P 0.3662 0.3736 2.5987
P 1.9488 1.9879 -0.5604
P 2.7262 2.7808 4.9553
P 3.5310 3.6018 10.6660
```

Values from the calculation:
- Theoretical density: 6.53 g/cm3
- Formation energy: -1.407 eV/atom

(25)
# Ca2NiRu

A geometry-optimized Ca2NiRu structure (GGA-PBE, Alexandria).

```
4
Lattice="4.1792 0.0000 0.0000 0.0000 4.4130 0.0154 0.0000 2.1852 5.0732" Properties=species:S:1:pos:R:3 pbc="T T T"
Ru 2.0896 4.1240 3.6646
Ca 2.0896 1.9228 1.7187
Ni 0.0000 4.1242 2.6878
Ca 0.0000 6.3246 4.6503
```

Values from the calculation:
- Theoretical density: 4.26 g/cm3
- Formation energy: 0.062 eV/atom

(26)
# Na3Tl3ZnO8

A geometry-optimized Na3Tl3ZnO8 structure (GGA-PBE, Alexandria).

```
15
Lattice="-6.3153 2.1540 0.3858 1.4355 -6.3954 1.3079 1.9091 4.8147 4.3713" Properties=species:S:1:pos:R:3 pbc="T T T"
O -2.0765 -1.2582 4.6658
O 0.5900 1.0602 3.7399
Na 0.7178 -3.1977 0.6539
Tl -1.4853 0.2867 3.0325
O -2.6051 1.9985 4.0935
O -0.8942 1.8315 1.3991
Na -2.4399 -2.1207 0.8468
O -0.3656 -1.4252 1.9715
Na 0.0000 0.0000 0.0000
O -4.3448 3.0085 1.6099
O 1.3741 -2.4351 4.4550
Tl 1.6723 -0.7903 2.8396
Tl -2.2031 3.4844 2.3785
O -3.5607 -0.4868 2.3251
Zn 0.9545 2.4074 2.1856
```

Values from the calculation:
- Theoretical density: 6.74 g/cm3
- ΔE_f (raw): -0.91 eV/atom